# 1
Density functional theory data (GGA-PBE) for MnAgRh2 after structural relaxation.

## Properties
The space-group type is Cmmm, No. 65. The crystal system is orthorhombic. The formation energy comes out at 0.164 eV per atom. For the offset from the most stable computed form, the calculation gives 120 meV per atom.

Cell lengths 4.691, 4.691, 2.854 Å; angles 90.00, 90.00, 107.00 degrees
Fractional positions:
Mn (0.000, 0.000, 0.000)
Ag (0.500, 0.500, 0.000)
Rh (0.000, 0.500, 0.500)
Rh (0.500, 0.000, 0.500)

***

# 2
Density functional theory data (GGA-PBE) for PrP2S6 after structural relaxation.

## Properties
The calculation puts the uncorrected formation energy at -0.56 eV per atom. The space-group type is C2/c, No. 15. The crystal system is monoclinic.

Cell lengths 8.269, 8.269, 7.400 Å; angles 111.69, 111.69, 76.96 degrees
Fractional positions:
Pr (0.174, 0.826, 0.750)
Pr (0.826, 0.174, 0.250)
P (0.231, 0.351, 0.813)
P (0.351, 0.231, 0.313)
P (0.649, 0.769, 0.687)
P (0.769, 0.649, 0.187)
S (0.044, 0.177, 0.672)
S (0.143, 0.598, 0.947)
S (0.177, 0.044, 0.172)
S (0.256, 0.419, 0.538)
S (0.402, 0.857, 0.553)
S (0.419, 0.256, 0.038)
S (0.581, 0.744, 0.962)
S (0.598, 0.143, 0.447)
S (0.744, 0.581, 0.462)
S (0.823, 0.956, 0.828)
S (0.857, 0.402, 0.053)
S (0.956, 0.823, 0.328)

***

# 3
Density functional theory data (GGA-PBE) for ScNbZn2F after structural relaxation.

## Properties
The calculation puts the uncorrected formation energy at 0.90 eV per atom. The space-group type is P4/mmm, No. 123. The crystal system is tetragonal.

Cell lengths 5.196, 5.196, 4.792 Å; angles 90.00, 90.00, 90.00 degrees
Fractional positions:
Sc (0.000, 0.000, 0.000)
Nb (0.000, 0.000, 0.500)
Zn (0.000, 0.500, 0.000)
Zn (0.500, 0.000, 0.000)
F (0.500, 0.500, 0.500)

***

# 4
Density functional theory data (GGA-PBE) for TbAsHRh after structural relaxation.

## Properties
The space-group type is P4/nmm, No. 129. The calculation puts the uncorrected energy at -23.6 eV per formula unit. The crystal system is tetragonal.

Cell lengths 4.033, 4.033, 7.336 Å; angles 90.00, 90.00, 90.00 degrees
Fractional positions:
Tb (0.250, 0.250, 0.158)
Tb (0.750, 0.750, 0.842)
As (0.250, 0.250, 0.705)
As (0.750, 0.750, 0.295)
H (0.250, 0.750, 0.000)
H (0.750, 0.250, 0.000)
Rh (0.250, 0.750, 0.500)
Rh (0.750, 0.250, 0.500)

***

| no. | ρ (g cm⁻³) |
| --- | --- |
| 1 | 10.2 |
| 2 | 3.0 |
| 3 | 3.7 |
| 4 | 9.4 |